(1)
Density functional theory data (PBE) for an optimized crystal structure of KCeBiAu. Values from VASP.

## Properties
SG: F-43m (216)
Uncorrected energy: -15.9 eV/cell
Energy of formation: -0.4208 eV per atom

Cell and atoms, written as Quantum ESPRESSO input:
```
&SYSTEM
  ibrav = 0, nat = 4, ntyp = 4
/
ATOMIC_SPECIES
K 39.10 K.upf
Au 196.97 Au.upf
Bi 208.98 Bi.upf
Ce 140.12 Ce.upf
ATOMIC_POSITIONS crystal
K 0.000 0.000 0.000
Au 0.750 0.750 0.750
Bi 0.250 0.250 0.250
Ce 0.500 0.500 0.500
CELL_PARAMETERS angstrom
-2.841 2.968 -3.738
-5.018 2.009 1.282
-0.700 5.461 0.741
```

(2)
Density functional theory data (PBE) for an optimized crystal structure of ZrScTi2In. Values from VASP.

## Properties
SG: P4/mmm (123)
Uncorrected energy: -29.3 eV/cell
Energy of formation: 0.8137 eV per atom

Cell and atoms, written as Quantum ESPRESSO input:
```
&SYSTEM
  ibrav = 0, nat = 5, ntyp = 4
/
ATOMIC_SPECIES
Sc 44.96 Sc.upf
Ti 47.87 Ti.upf
Zr 91.22 Zr.upf
In 114.82 In.upf
ATOMIC_POSITIONS crystal
Sc 0.000 0.000 0.000
Ti 0.000 0.000 0.500
Ti 0.500 0.000 0.000
Zr 0.500 0.500 0.500
In 0.000 0.500 0.000
CELL_PARAMETERS angstrom
4.543 0.000 0.000
0.000 5.305 0.000
0.000 0.000 4.543
```

(3)
Density functional theory data (PBE) for an optimized crystal structure of Rb2TbCu3F12. Values from VASP.

## Properties
SG: R-3m (166)
Uncorrected energy: -84.2 eV/cell

Cell and atoms, written as Quantum ESPRESSO input:
```
&SYSTEM
  ibrav = 0, nat = 18, ntyp = 4
/
ATOMIC_SPECIES
Rb 85.47 Rb.upf
Tb 158.93 Tb.upf
Cu 63.55 Cu.upf
F 19.00 F.upf
ATOMIC_POSITIONS crystal
Rb 0.613 0.613 0.613
Rb 0.387 0.387 0.387
Tb 0.000 0.000 0.000
Cu 0.500 0.000 0.000
Cu 0.000 0.500 0.000
Cu 0.000 0.000 0.500
F 0.300 0.300 0.913
F 0.904 0.904 0.361
F 0.361 0.904 0.904
F 0.913 0.300 0.300
F 0.904 0.361 0.904
F 0.300 0.913 0.300
F 0.700 0.700 0.087
F 0.096 0.096 0.639
F 0.639 0.096 0.096
F 0.087 0.700 0.700
F 0.096 0.639 0.096
F 0.700 0.087 0.700
CELL_PARAMETERS angstrom
-1.631 3.494 -6.312
4.025 -1.398 -6.047
-3.039 -3.817 -5.560
```

(4)
Density functional theory data (PBE) for an optimized crystal structure of Ba12Tl5In2. Values from VASP.

## Properties
SG: C2/m (12)
Uncorrected energy: -44.5 eV/cell
Energy of formation: -0.2184 eV per atom

Cell and atoms, written as Quantum ESPRESSO input:
```
&SYSTEM
  ibrav = 0, nat = 19, ntyp = 3
/
ATOMIC_SPECIES
Ba 137.33 Ba.upf
Tl 204.38 Tl.upf
In 114.82 In.upf
ATOMIC_POSITIONS crystal
Ba 0.949 0.898 0.175
Ba 0.066 0.632 0.874
Ba 0.566 0.632 0.874
Ba 0.100 0.701 0.435
Ba 0.601 0.701 0.435
Ba 0.480 0.961 0.713
Ba 0.520 0.039 0.287
Ba 0.900 0.299 0.565
Ba 0.399 0.299 0.565
Ba 0.934 0.368 0.126
Ba 0.434 0.368 0.126
Ba 0.051 0.102 0.825
Tl 0.291 0.582 0.641
Tl 0.348 0.696 0.131
Tl 0.000 0.000 0.500
Tl 0.652 0.304 0.869
Tl 0.709 0.418 0.359
In 0.674 0.000 0.000
In 0.326 0.000 0.000
CELL_PARAMETERS angstrom
-5.564 -6.092 2.639
9.708 -1.255 3.354
-3.406 6.907 8.763
```

(5)
Density functional theory data (PBE) for an optimized crystal structure of KNbC3. Values from VASP.

## Properties
SG: Pm-3m (221)
Uncorrected energy: -31.0 eV/cell
Energy of formation: 1.5689 eV per atom

Cell and atoms, written as Quantum ESPRESSO input:
```
&SYSTEM
  ibrav = 0, nat = 5, ntyp = 3
/
ATOMIC_SPECIES
C 12.01 C.upf
Nb 92.91 Nb.upf
K 39.10 K.upf
ATOMIC_POSITIONS crystal
C 0.000 0.500 0.000
C 0.000 0.000 0.500
C 0.500 0.000 0.000
Nb 0.000 0.000 0.000
K 0.500 0.500 0.500
CELL_PARAMETERS angstrom
4.310 0.000 0.000
0.000 4.310 0.000
0.000 0.000 4.310
```

(6)
Density functional theory data (PBE) for an optimized crystal structure of TbYTh2As4. Values from VASP.

## Properties
SG: P2/m (10)
Uncorrected energy: -56.4 eV/cell
Energy of formation: -1.4774 eV per atom

Cell and atoms, written as Quantum ESPRESSO input:
```
&SYSTEM
  ibrav = 0, nat = 8, ntyp = 4
/
ATOMIC_SPECIES
Tb 158.93 Tb.upf
Y 88.91 Y.upf
Th 232.04 Th.upf
As 74.92 As.upf
ATOMIC_POSITIONS crystal
Tb 0.000 0.500 0.500
Y 0.500 0.500 0.000
Th 0.000 0.000 0.000
Th 0.500 0.000 0.500
As 0.000 0.743 0.753
As 0.000 0.257 0.247
As 0.500 0.743 0.252
As 0.500 0.257 0.748
CELL_PARAMETERS angstrom
4.207 0.000 0.000
0.000 7.229 -0.119
0.000 2.567 6.818
```

(7)
Density functional theory data (PBE) for an optimized crystal structure of Ti2ReSn. Values from VASP.

## Properties
SG: R-3m (166)
Uncorrected energy: -32.8 eV/cell
Energy of formation: -0.1321 eV per atom

Cell and atoms, written as Quantum ESPRESSO input:
```
&SYSTEM
  ibrav = 0, nat = 4, ntyp = 3
/
ATOMIC_SPECIES
Re 186.21 Re.upf
Sn 118.71 Sn.upf
Ti 47.87 Ti.upf
ATOMIC_POSITIONS crystal
Re 0.000 0.000 0.000
Sn 0.500 0.500 0.500
Ti 0.260 0.260 0.221
Ti 0.740 0.740 0.779
CELL_PARAMETERS angstrom
3.103 0.000 0.000
1.552 2.688 0.000
1.552 0.896 8.624
```

(8)
Density functional theory data (PBE) for an optimized crystal structure of CdAgCl4. Values from VASP.

## Properties
SG: F-43m (216)
Uncorrected energy: -8.8 eV/cell

Cell and atoms, written as Quantum ESPRESSO input:
```
&SYSTEM
  ibrav = 0, nat = 6, ntyp = 3
/
ATOMIC_SPECIES
Cd 112.41 Cd.upf
Ag 107.87 Ag.upf
Cl 35.45 Cl.upf
ATOMIC_POSITIONS crystal
Cd 0.000 0.000 0.000
Ag 0.750 0.750 0.750
Cl 0.877 0.374 0.374
Cl 0.374 0.374 0.877
Cl 0.374 0.877 0.374
Cl 0.374 0.374 0.374
CELL_PARAMETERS angstrom
0.000 4.212 4.212
4.212 0.000 4.212
4.212 4.212 0.000
```

(9)
Density functional theory data (PBE) for an optimized crystal structure of CsInBr4. Values from VASP.

## Properties
SG: I4_1/a (88)
Uncorrected energy: -34.9 eV/cell

Cell and atoms, written as Quantum ESPRESSO input:
```
&SYSTEM
  ibrav = 0, nat = 12, ntyp = 3
/
ATOMIC_SPECIES
Cs 132.91 Cs.upf
In 114.82 In.upf
Br 79.90 Br.upf
ATOMIC_POSITIONS crystal
Cs 0.000 0.000 0.000
Cs 0.750 0.250 0.500
In 0.500 0.500 0.000
In 0.250 0.750 0.500
Br 0.043 0.915 0.344
Br 0.179 0.293 0.844
Br 0.665 0.551 0.844
Br 0.301 0.429 0.344
Br 0.449 0.821 0.156
Br 0.085 0.699 0.656
Br 0.571 0.957 0.656
Br 0.707 0.335 0.156
CELL_PARAMETERS angstrom
-5.438 0.823 -5.335
-0.736 -7.615 -0.424
-3.341 3.650 9.472
```

(10)
Density functional theory data (PBE) for an optimized crystal structure of FeAs2Cl2. Values from VASP.

## Properties
SG: P4/mbm (127)
Uncorrected energy: -41.4 eV/cell

Cell and atoms, written as Quantum ESPRESSO input:
```
&SYSTEM
  ibrav = 0, nat = 10, ntyp = 3
/
ATOMIC_SPECIES
As 74.92 As.upf
Fe 55.84 Fe.upf
Cl 35.45 Cl.upf
ATOMIC_POSITIONS crystal
As 0.114 0.614 0.500
As 0.614 0.886 0.500
As 0.886 0.386 0.500
As 0.386 0.114 0.500
Fe 0.000 0.000 0.000
Fe 0.500 0.500 0.000
Cl 0.298 0.798 0.000
Cl 0.798 0.702 0.000
Cl 0.702 0.202 0.000
Cl 0.202 0.298 0.000
CELL_PARAMETERS angstrom
6.604 0.000 0.000
0.000 6.604 0.000
0.000 0.000 8.196
```

(11)
Density functional theory data (PBE) for an optimized crystal structure of Rb3BaY. Values from VASP.

## Properties
SG: Pm-3m (221)
Uncorrected energy: -6.0 eV/cell
Energy of formation: 1.0524 eV per atom

Cell and atoms, written as Quantum ESPRESSO input:
```
&SYSTEM
  ibrav = 0, nat = 5, ntyp = 3
/
ATOMIC_SPECIES
Y 88.91 Y.upf
Ba 137.33 Ba.upf
Rb 85.47 Rb.upf
ATOMIC_POSITIONS crystal
Y 0.500 0.500 0.500
Ba 0.000 0.000 0.000
Rb 0.000 0.500 0.000
Rb 0.000 0.000 0.500
Rb 0.500 0.000 0.000
CELL_PARAMETERS angstrom
-3.465 -6.291 1.050
6.216 -3.598 -1.046
1.427 0.400 7.105
```

(12)
Density functional theory data (PBE) for an optimized crystal structure of CuReSi2. Values from VASP.

## Properties
SG: R-3m (166)
Uncorrected energy: -27.3 eV/cell

Cell and atoms, written as Quantum ESPRESSO input:
```
&SYSTEM
  ibrav = 0, nat = 4, ntyp = 3
/
ATOMIC_SPECIES
Cu 63.55 Cu.upf
Re 186.21 Re.upf
Si 28.09 Si.upf
ATOMIC_POSITIONS crystal
Cu 0.250 0.250 0.250
Re 0.750 0.750 0.750
Si 0.999 0.999 0.999
Si 0.501 0.501 0.501
CELL_PARAMETERS angstrom
7.996 0.016 0.010
7.488 2.804 0.010
7.488 1.364 2.450
```